No. 1
! Ca2VSnO6 | Alexandria | GGA+U | optimized geometry; values from VASP
&SYSTEM
  ibrav = 0, nat = 20, ntyp = 4
/
ATOMIC_SPECIES
O 16.00 O.upf
Ca 40.08 Ca.upf
V 50.94 V.upf
Sn 118.71 Sn.upf
ATOMIC_POSITIONS angstrom
O 3.294 0.372 4.413
O 0.781 -0.865 1.170
O 0.610 -0.707 6.007
O 0.741 1.109 3.625
O 3.164 -1.444 6.795
O 3.124 0.530 9.251
O 3.501 -1.628 1.987
O -0.628 -1.389 3.473
O 2.168 2.739 5.412
O 4.533 1.054 6.947
O 0.404 1.293 8.434
O 1.736 -3.074 5.009
Ca 1.776 -1.260 3.559
Ca -1.193 -0.671 7.905
Ca 2.128 0.925 6.862
Ca 5.098 0.337 2.516
V -0.607 -2.119 1.604
V 2.559 1.952 3.607
Sn -0.791 0.254 4.729
Sn 2.744 -0.421 0.482
CELL_PARAMETERS angstrom
-1.214 -4.239 3.207
5.487 -0.843 0.963
-0.368 4.746 6.250
! - Volume: 12.1 A^3/atom
! - E: -6.88 eV/atom
! - Theoretical density: 4758 kg/m3



No. 2
! CaVSnO5 | Alexandria | GGA+U | optimized geometry; values from VASP
&SYSTEM
  ibrav = 0, nat = 16, ntyp = 4
/
ATOMIC_SPECIES
Sn 118.71 Sn.upf
O 16.00 O.upf
Ca 40.08 Ca.upf
V 50.94 V.upf
ATOMIC_POSITIONS angstrom
Sn 0.000 0.000 0.000
Sn 3.095 -1.230 1.628
O -0.273 -0.873 4.019
O -3.122 -1.093 3.481
O 2.169 -5.176 3.589
O -1.388 -1.168 1.106
O 1.182 -1.587 6.260
O -0.401 -4.757 -1.566
O 1.899 -2.957 1.947
O -1.118 -3.387 2.747
O 1.054 -5.471 0.675
O 3.903 -5.251 1.214
Ca -0.846 -3.462 0.258
Ca 1.627 -2.882 4.437
V -1.480 -1.616 2.858
V 2.261 -4.728 1.836
CELL_PARAMETERS angstrom
-3.619 0.719 4.467
-1.791 -4.603 -3.029
6.190 -2.460 3.257
! - Volume: 13.7 A^3/atom
! - E: -6.93 eV/atom
! - Theoretical density: 4397 kg/m3



No. 3
! CaVSnWO6 | Alexandria | GGA+U | optimized geometry; values from VASP
&SYSTEM
  ibrav = 0, nat = 10, ntyp = 5
/
ATOMIC_SPECIES
O 16.00 O.upf
Sn 118.71 Sn.upf
W 183.84 W.upf
Ca 40.08 Ca.upf
V 50.94 V.upf
ATOMIC_POSITIONS angstrom
O 4.016 4.016 5.965
O 4.016 5.965 4.016
O 5.965 4.016 4.016
O 2.066 4.016 4.016
O 4.016 4.016 2.066
O 4.016 2.066 4.016
Sn 2.008 2.008 2.008
W 4.016 4.016 4.016
Ca 6.023 6.023 6.023
V 0.000 0.000 0.000
CELL_PARAMETERS angstrom
0.000 4.016 4.016
4.016 0.000 4.016
4.016 4.016 0.000
! - Volume: 13.0 A^3/atom
! - E: -7.01 eV/atom
! - Theoretical density: 6277 kg/m3